Entry from OQMD: a geometry-optimized Ni8W7 structure (PBE).

Cell: 9.212 9.212 4.742 Å, 90.00 90.00 90.00°
Space group P4_2/mnm (No. 136)
Asymmetric unit:
Ni 0.063 0.260 0.000 (multiplicity 8)
Ni 0.183 0.817 0.250 (multiplicity 8)
W 0.000 0.000 0.000 (multiplicity 2)
W 0.039 0.371 0.500 (multiplicity 8)
W 0.102 0.102 0.500 (multiplicity 4)

Computed properties:
- ρ (g cm⁻³) = 14.50
- M_tot (μB per atom) = 0.000
- energy above the most stable polymorph in this dataset (eV per atom) = 0.002

---

Entry from OQMD: a geometry-optimized Ni8W7 structure (PBE).

Cell: 9.247 9.247 4.742 Å, 90.00 90.00 90.00°
Space group P4_2/mnm (No. 136)
Asymmetric unit:
Ni 0.034 0.372 0.000 (multiplicity 8)
Ni 0.181 0.819 0.247 (multiplicity 8)
W 0.000 0.000 0.500 (multiplicity 2)
W 0.064 0.274 0.500 (multiplicity 8)
W 0.109 0.109 0.000 (multiplicity 4)

Computed properties:
- ρ (g cm⁻³) = 14.38
- M_tot (μB per atom) = 0.000
- energy above the most stable polymorph in this dataset (eV per atom) = 0.000

---

Entry from OQMD: a geometry-optimized Ni8W7 structure (PBE).

Cell: 9.043 9.043 4.958 Å, 90.00 90.00 90.00°
Space group P4_2/mnm (No. 136)
Asymmetric unit:
Ni 0.036 0.368 0.000 (multiplicity 8)
Ni 0.065 0.269 0.500 (multiplicity 8)
W 0.000 0.000 0.500 (multiplicity 2)
W 0.102 0.102 0.000 (multiplicity 4)
W 0.189 0.811 0.250 (multiplicity 8)

Computed properties:
- ρ (g cm⁻³) = 14.39
- M_tot (μB per atom) = 0.001
- energy above the most stable polymorph in this dataset (eV per atom) = 0.011

---

Entry from OQMD: a geometry-optimized Ni11W4 structure (PBE).

Cell: 8.697 8.697 4.862 Å, 90.00 90.00 90.00°
Space group P4_2/mnm (No. 136)
Asymmetric unit:
Ni 0.000 0.000 0.000 (multiplicity 2)
Ni 0.037 0.368 0.500 (multiplicity 8)
Ni 0.065 0.264 0.000 (multiplicity 8)
Ni 0.099 0.099 0.500 (multiplicity 4)
W 0.183 0.817 0.251 (multiplicity 8)

Computed properties:
- ρ (g cm⁻³) = 12.47
- M_tot (μB per atom) = 0.004
- energy above the most stable polymorph in this dataset (eV per atom) = 0.013

---

Entry from OQMD: a geometry-optimized Ni2W structure (PBE).

Cell: 4.6893 4.6893 15.3563 Å, 90.00 90.00 120.00°
Space group P6_3/mmc (No. 194)
Asymmetric unit:
Ni 0.0000 0.5000 0.0000 (multiplicity 6)
Ni 0.1642 0.3283 0.2500 (multiplicity 6)
Ni 0.3333 0.6667 0.1244 (multiplicity 4)
W 0.0000 0.0000 0.0961 (multiplicity 4)
W 0.3333 0.6667 0.6564 (multiplicity 4)

Computed properties:
- ρ (g cm⁻³) = 13.68
- M_tot (μB per atom) = 0.144
- calculated total energy (eV/atom) = -8.031

---

Entry from OQMD: a geometry-optimized Ni6W7 structure (PBE).

Cell: 5.1320 5.1320 25.7686 Å, 90.00 90.00 120.00°
Space group R-3m (No. 166, hexagonal axes)
Asymmetric unit:
Ni 0.0000 0.0000 0.0450 (multiplicity 6)
Ni 0.0000 0.0000 0.1466 (multiplicity 6)
Ni 0.0000 0.0000 0.3343 (multiplicity 6)
W 0.0000 0.0000 0.5000 (multiplicity 3)
W 0.0037 0.5019 0.9151 (multiplicity 18)

Computed properties:
- ρ (g cm⁻³) = 13.89
- M_tot (μB per atom) = 0.001
- energy above the most stable polymorph in this dataset (eV per atom) = 0.531

---

Entry from OQMD: a geometry-optimized Ni10W3 structure (PBE).

Cell: 4.6836 4.6836 25.0494 Å, 90.00 90.00 120.00°
Space group R-3m (No. 166, hexagonal axes)
Asymmetric unit:
Ni 0.0000 0.0000 0.0461 (multiplicity 6)
Ni 0.0000 0.0000 0.3348 (multiplicity 6)
Ni 0.0043 0.5021 0.9159 (multiplicity 18)
W 0.0000 0.0000 0.1456 (multiplicity 6)
W 0.0000 0.0000 0.5000 (multiplicity 3)

Computed properties:
- ρ (g cm⁻³) = 11.92
- M_tot (μB per atom) = 0.003
- energy above the most stable polymorph in this dataset (eV per atom) = 0.080